Material: Nd6MgCo2
Method: DFT, PBE-GGA
State: relaxed

Energy of formation = -70 meV per atom
Fermi-level density of states = 16.906 states/eV/cell

The structure in extended XYZ format:
```
18
Lattice="-4.828 5.027 5.158 4.828 -5.027 5.158 4.828 5.027 -5.158" Properties=species:S:1:pos:R:3 pbc="T T T"
Nd 4.828 2.973 -2.747
Nd 2.754 1.837 0.000
Nd 6.902 1.837 0.000
Nd 1.786 5.027 -1.857
Nd 3.042 0.000 3.301
Nd 0.000 2.054 2.411
Nd 4.828 2.973 2.747
Nd 1.786 5.027 1.857
Nd 3.042 0.000 7.015
Nd -2.074 3.190 5.158
Nd 2.074 3.190 5.158
Nd 0.000 2.054 7.904
Mg 0.000 0.000 0.000
Mg 0.000 0.000 5.158
Co 4.828 0.000 1.148
Co 0.000 3.281 0.000
Co 0.000 6.773 0.000
Co 0.000 5.027 4.009
```



Material: Nd6Mg3Co
Method: DFT, PBE-GGA
State: relaxed

Energy of formation = 21 meV per atom
Fermi-level density of states = 19.741 states/eV/cell

The structure in extended XYZ format:
```
20
Lattice="9.638 0.000 0.000 0.000 11.452 0.000 0.000 0.000 5.374" Properties=species:S:1:pos:R:3 pbc="T T T"
Nd 0.187 2.594 0.000
Nd 1.495 0.810 2.687
Nd 1.896 4.672 2.687
Nd 2.923 10.398 0.000
Nd 3.324 6.536 0.000
Nd 4.632 8.320 2.687
Nd 5.007 3.132 2.687
Nd 6.315 4.916 0.000
Nd 6.715 1.055 0.000
Nd 7.742 6.781 2.687
Nd 8.143 10.643 2.687
Nd 9.451 8.859 0.000
Mg 0.000 5.726 0.000
Mg 1.438 8.227 2.687
Mg 3.381 2.501 0.000
Mg 4.819 0.000 2.687
Mg 6.257 8.952 0.000
Mg 8.200 3.226 2.687
Co 0.000 0.000 0.000
Co 4.819 5.726 2.687
```



Material: NdMgCo
Method: DFT, PBE-GGA
State: relaxed

Energy of formation = 87 meV per atom
Fermi-level density of states = 12.134 states/eV/cell

The structure in extended XYZ format:
```
12
Lattice="8.079 0.000 0.000 0.000 3.921 0.000 -2.259 0.000 9.331" Properties=species:S:1:pos:R:3 pbc="T T T"
Nd 1.343 0.000 2.303
Nd 0.437 1.960 7.028
Nd 5.383 1.960 2.303
Nd 4.476 0.000 7.028
Mg -1.130 0.000 4.666
Mg 0.000 1.960 0.000
Mg 4.039 0.000 0.000
Mg 2.910 1.960 4.666
Co -0.669 0.000 8.741
Co 2.449 1.960 0.590
Co 3.371 1.960 8.741
Co 6.488 0.000 0.590
```



Material: Nd6Mg2Co
Method: DFT, PBE-GGA
State: relaxed

Energy of formation = -8 meV per atom
Fermi-level density of states = 11.202 states/eV/cell

The structure in extended XYZ format:
```
9
Lattice="6.296 -3.713 0.000 6.296 3.713 0.000 -4.423 0.000 6.072" Properties=species:S:1:pos:R:3 pbc="T T T"
Nd 2.764 1.864 4.385
Nd -0.449 0.000 4.830
Nd 5.406 1.864 1.687
Nd 2.764 -1.864 4.385
Nd 8.619 0.000 1.242
Nd 5.406 -1.864 1.687
Mg 2.099 0.000 1.501
Mg 6.070 0.000 4.571
Co 6.296 0.000 0.000
```



Material: NdMgCo
Method: DFT, PBE-GGA
State: relaxed

Energy of formation = 59 meV per atom
Fermi-level density of states = 3.573 states/eV/cell

The structure in extended XYZ format:
```
6
Lattice="3.319 0.000 0.000 0.000 3.319 0.000 0.000 0.000 11.770" Properties=species:S:1:pos:R:3 pbc="T T T"
Nd 0.000 0.000 0.000
Nd 1.660 1.660 5.885
Mg 0.000 0.000 8.648
Mg 1.660 1.660 2.763
Co 0.000 0.000 4.208
Co 1.660 1.660 10.093
```



Material: Nd3MgCo3
Method: DFT, PBE-GGA
State: relaxed

Energy of formation = -69 meV per atom
Fermi-level density of states = 11.731 states/eV/cell

The structure in extended XYZ format:
```
14
Lattice="2.161 -5.108 0.000 2.161 5.108 0.000 0.000 0.000 13.568" Properties=species:S:1:pos:R:3 pbc="T T T"
Nd 2.161 5.019 10.176
Nd 2.161 2.054 8.192
Nd 2.161 2.054 12.159
Nd 2.161 -2.054 1.409
Nd 2.161 -2.054 5.375
Nd 2.161 -5.019 3.392
Mg 0.000 0.000 0.000
Mg 0.000 0.000 6.784
Co 2.161 2.086 3.392
Co 2.161 0.975 1.397
Co 2.161 0.975 5.386
Co 2.161 -0.975 8.181
Co 2.161 -0.975 12.170
Co 2.161 -2.086 10.176
```



Material: Nd6MgCo
Method: DFT, PBE-GGA
State: relaxed

Energy of formation = 82 meV per atom
Fermi-level density of states = 22.460 states/eV/cell

The structure in extended XYZ format:
```
16
Lattice="8.142 0.000 0.000 0.000 10.493 0.000 -1.844 0.000 6.154" Properties=species:S:1:pos:R:3 pbc="T T T"
Nd 0.409 2.032 1.716
Nd 0.409 8.461 1.716
Nd 1.614 5.246 0.756
Nd 0.613 0.000 5.397
Nd 1.818 3.214 4.438
Nd 1.818 7.279 4.438
Nd 4.480 3.214 1.716
Nd 4.480 7.279 1.716
Nd 5.685 0.000 0.756
Nd 4.684 5.246 5.397
Nd 5.889 2.032 4.438
Nd 5.889 8.461 4.438
Mg -0.922 5.246 3.077
Mg 3.149 0.000 3.077
Co 0.000 0.000 0.000
Co 4.071 5.246 0.000
```



Material: PrNdMgCo
Method: DFT, PBE-GGA
State: relaxed

Energy of formation = 91 meV per atom
Fermi-level density of states = 9.998 states/eV/cell

The structure in extended XYZ format:
```
16
Lattice="7.382 0.000 0.000 0.000 7.382 0.000 0.000 0.000 7.382" Properties=species:S:1:pos:R:3 pbc="T T T"
Pr 0.000 0.000 0.000
Pr 0.000 3.691 3.691
Pr 3.691 0.000 3.691
Pr 3.691 3.691 0.000
Nd 0.000 0.000 3.691
Nd 0.000 3.691 0.000
Nd 3.691 0.000 0.000
Nd 3.691 3.691 3.691
Mg 1.846 1.846 1.846
Mg 1.846 5.537 5.537
Mg 5.537 1.846 5.537
Mg 5.537 5.537 1.846
Co 1.846 1.846 5.537
Co 1.846 5.537 1.846
Co 5.537 1.846 1.846
Co 5.537 5.537 5.537
```